# 1
Here is crystalline PuCu5Pd7 at its relaxed geometry from the Alexandria database. Energies are from GGA-PBE.

Lattice parameters (Å, degrees): 6.7443 6.7443 6.7443 136.26 98.95 97.00
With the nearest neighbours (Å) after each atom.
Element x y z (fractional)
Pu1 0.0000 0.0000 0.0000  10 Pd 3.01-3.19, 6 Cu 3.30-3.36
Cu1 0.4975 0.4928 0.5033  3 Cu 2.50-2.52, 7 Pd 2.56-2.72
Cu2 0.4975 0.9942 0.0046  3 Cu 2.50-2.52, 7 Pd 2.56-2.72
Cu3 0.7613 0.2613 0.5000  4 Cu 2.50, 6 Pd 2.71-2.75
Cu4 0.9896 0.4928 0.9954  3 Cu 2.50-2.52, 7 Pd 2.56-2.72
Cu5 0.9896 0.9942 0.4967  3 Cu 2.50-2.52, 7 Pd 2.56-2.72
Pd1 0.1931 0.4899 0.7031  5 Cu 2.56-2.71, 3 Pd 2.72-2.80
Pd2 0.2196 0.7196 0.5000  4 Cu 2.57, 6 Pd 2.72-2.82
Pd3 0.3384 0.9954 0.3430  5 Cu 2.66-2.75, 4 Pd 2.75-2.82
Pd4 0.3433 0.3433 0.0000  4 Cu 2.71, 5 Pd 2.73-2.91
Pd5 0.6490 0.6490 0.0000  6 Cu 2.64-2.71, 1 Pd 2.73
Pd6 0.6523 0.9954 0.6570  5 Cu 2.66-2.75, 4 Pd 2.75-2.82
Pd7 0.7868 0.4899 0.2969  5 Cu 2.56-2.71, 3 Pd 2.72-2.80

Summary:
Uncorrected energy   -0.420 Ry/atom
Density   11.0 g cm⁻³
ΔH_f (0 K)   -238 meV per atom
Space group   No. 44

# 2
Here is crystalline LiCeAl2Pd4 at its relaxed geometry from the Alexandria database. Energies are from GGA-PBE.

Lattice parameters (Å, degrees): 8.9006 8.9006 8.9006 27.80 27.80 27.80
With the nearest neighbours (Å) after each atom.
Element x y z (fractional)
Li1 0.0000 0.0000 0.0000  8 Pd 2.51-2.63
Ce1 0.5000 0.5000 0.5000  8 Pd 3.04-3.38
Al1 0.2659 0.2659 0.2659  7 Pd 2.59-2.63
Al2 0.7341 0.7341 0.7341  7 Pd 2.59-2.63
Pd1 0.0978 0.0978 0.0978  1 Li 2.51, 3 Al 2.59
Pd2 0.3684 0.3684 0.3684  4 Al 2.61-2.63, 3 Li 2.63
Pd3 0.6316 0.6316 0.6316  4 Al 2.61-2.63, 3 Li 2.63
Pd4 0.9022 0.9022 0.9022  1 Li 2.51, 3 Al 2.59

Summary:
Uncorrected energy   -0.390 Ry/atom
Density   7.7 g cm⁻³
ΔH_f (0 K)   -789 meV per atom
Space group   No. 166

# 3
Here is crystalline LaBeTc at its relaxed geometry from the Alexandria database. Energies are from GGA-PBE.

Lattice parameters (Å, degrees): 4.3840 4.3840 4.3840 60.00 60.00 60.00
With the nearest neighbours (Å) after each atom.
Element x y z (fractional)
La1 0.0000 0.0000 0.0000  4 Tc 2.68
Be1 0.5000 0.5000 0.5000  4 Tc 2.68
Tc1 0.2500 0.2500 0.2500  4 La 2.68, 4 Be 2.68

Summary:
Uncorrected energy   -0.430 Ry/atom
Density   6.9 g cm⁻³
ΔH_f (0 K)   492 meV per atom
Space group   No. 216
ΔE to the lowest computed polymorph   0.406 eV per atom

# 4
Here is crystalline TlIn2Os at its relaxed geometry from the Alexandria database. Energies are from GGA-PBE.

Lattice parameters (Å, degrees): 3.0118 4.5076 7.8335 90.00 90.00 90.00
With the nearest neighbours (Å) after each atom.
Element x y z (fractional)
Tl1 0.0000 0.0000 0.0000  2 Tl 3.01, 1 In 3.13
In1 0.0000 0.0000 0.6002  4 Os 2.71, 2 In 3.01
In2 0.5000 0.5000 0.2727  1 Os 2.65
Os1 0.5000 0.5000 0.6111  5 In 2.65-2.71

Summary:
Uncorrected energy   -0.308 Ry/atom
Density   9.7 g cm⁻³
ΔH_f (0 K)   582 meV per atom
Space group   No. 25
ΔE to the lowest computed polymorph   0.223 eV per atom

# 5
Here is crystalline Li4Cd2In5 at its relaxed geometry from the Alexandria database. Energies are from GGA-PBE.

Lattice parameters (Å, degrees): 9.0731 3.1602 9.1851 90.00 115.12 90.00
With the nearest neighbours (Å) after each atom.
Element x y z (fractional)
Li1 0.2293 0.0000 0.4985  8 In 2.92-3.17, 2 Li 3.16, 2 Cd 3.17
Li2 0.2643 0.0000 0.9635  4 In 2.90-2.93, 4 Cd 2.96-3.05, 2 Li 3.16
Li3 0.7357 0.0000 0.0365  4 In 2.90-2.93, 4 Cd 2.96-3.05, 2 Li 3.16
Li4 0.7707 0.0000 0.5015  8 In 2.92-3.17, 2 Li 3.16, 2 Cd 3.17
Cd1 0.4536 0.5000 0.8152  6 Li 2.96-3.17, 2 In 3.08-3.10, 3 Cd 3.13-3.16
Cd2 0.5464 0.5000 0.1848  6 Li 2.96-3.17, 2 In 3.08-3.10, 3 Cd 3.13-3.16
In1 0.0798 0.5000 0.6797  6 Li 2.90-3.02, 4 In 2.99-3.16, 1 Cd 3.08
In2 0.1681 0.5000 0.1782  4 Li 2.93-3.17, 4 In 3.04-3.20
In3 0.5000 0.5000 0.5000  4 Li 2.92, 2 Cd 3.10, 4 In 3.16-3.20
In4 0.8319 0.5000 0.8218  4 Li 2.93-3.17, 4 In 3.04-3.20
In5 0.9202 0.5000 0.3203  6 Li 2.90-3.02, 4 In 2.99-3.16, 1 Cd 3.08

Summary:
Uncorrected energy   -0.168 Ry/atom
Density   5.8 g cm⁻³
ΔH_f (0 K)   -184 meV per atom
Space group   No. 10
ΔE to the lowest computed polymorph   0.000 eV per atom

# 6
Here is crystalline Be2ZnCu3Au3 at its relaxed geometry from the Alexandria database. Energies are from GGA-PBE.

Lattice parameters (Å, degrees): 6.8586 6.8586 2.9629 90.00 90.00 120.00
With the nearest neighbours (Å) after each atom.
Element x y z (fractional)
Be1 0.3333 0.6667 0.0000  3 Cu 2.43, 6 Au 2.59
Be2 0.6667 0.3333 0.0000  3 Cu 2.43, 6 Au 2.59
Zn1 0.0000 0.0000 0.5000  6 Cu 2.50, 3 Au 2.65
Cu1 0.0000 0.7056 0.0000  2 Be 2.43, 2 Zn 2.50, 2 Au 2.64
Cu2 0.2944 0.2944 0.0000  2 Be 2.43, 2 Zn 2.50, 2 Au 2.64
Cu3 0.7056 0.0000 0.0000  2 Be 2.43, 2 Zn 2.50, 2 Au 2.64
Au1 0.0000 0.3867 0.5000  4 Be 2.59, 6 Cu 2.64-2.82, 1 Zn 2.65
Au2 0.3867 0.0000 0.5000  4 Be 2.59, 6 Cu 2.64-2.82, 1 Zn 2.65
Au3 0.6133 0.6133 0.5000  4 Be 2.59, 6 Cu 2.64-2.82, 1 Zn 2.65

Summary:
Uncorrected energy   -0.258 Ry/atom
Density   11.9 g cm⁻³
ΔH_f (0 K)   -83 meV per atom
Space group   No. 189

# 7
Here is crystalline TmScPb6 at its relaxed geometry from the Alexandria database. Energies are from GGA-PBE.

Lattice parameters (Å, degrees): 4.9183 4.9183 9.3617 90.00 90.00 90.00
With the nearest neighbours (Å) after each atom.
Element x y z (fractional)
Tm1 0.0000 0.0000 0.0000  12 Pb 3.43-3.48
Sc1 0.0000 0.0000 0.5000  12 Pb 3.36-3.48
Pb1 0.0000 0.5000 0.2547  8 Pb 3.36-3.48, 2 Sc 3.36, 2 Tm 3.43
Pb2 0.0000 0.5000 0.7453  8 Pb 3.36-3.48, 2 Sc 3.36, 2 Tm 3.43
Pb3 0.5000 0.0000 0.2547  8 Pb 3.36-3.48, 2 Sc 3.36, 2 Tm 3.43
Pb4 0.5000 0.0000 0.7453  8 Pb 3.36-3.48, 2 Sc 3.36, 2 Tm 3.43
Pb5 0.5000 0.5000 0.0000  8 Pb 3.43, 4 Tm 3.48
Pb6 0.5000 0.5000 0.5000  8 Pb 3.36, 4 Sc 3.48

Summary:
Uncorrected energy   -0.316 Ry/atom
Density   10.7 g cm⁻³
ΔH_f (0 K)   -170 meV per atom
Space group   No. 123

# 8
Here is crystalline K2SnHgSe4 at its relaxed geometry from the Alexandria database. Energies are from GGA-PBE.

Lattice parameters (Å, degrees): 8.5912 8.5912 8.2602 115.30 115.30 94.59
With the nearest neighbours (Å) after each atom.
Element x y z (fractional)
K1 0.0000 0.0000 0.0000  4 Se 3.15-3.51
K2 0.0000 0.0000 0.5000  4 Se 3.15-3.51
K3 0.0000 0.5000 0.0000  6 Se 3.17-3.24
K4 0.5000 0.0000 0.5000  6 Se 3.17-3.24
Sn1 0.5000 0.5000 0.0000  6 Se 2.72-2.85
Sn2 0.5000 0.5000 0.5000  6 Se 2.72-2.85
Hg1 0.0000 0.5000 0.5000  2 Se 2.63
Hg2 0.5000 0.0000 0.0000  2 Se 2.63
Se1 0.2491 0.6946 0.4959  1 Hg 2.63, 1 Sn 2.83
Se2 0.2918 0.2947 0.0556  2 Sn 2.72-2.85
Se3 0.2947 0.2918 0.5556  2 Sn 2.72-2.85
Se4 0.3054 0.7509 0.0041  1 Hg 2.63, 1 Sn 2.83
Se5 0.6946 0.2491 0.9959  1 Hg 2.63, 1 Sn 2.83
Se6 0.7053 0.7082 0.4444  2 Sn 2.72-2.85
Se7 0.7082 0.7053 0.9444  2 Sn 2.72-2.85
Se8 0.7509 0.3054 0.5041  1 Hg 2.63, 1 Sn 2.83

Summary:
Uncorrected energy   -0.232 Ry/atom
Density   5.0 g cm⁻³
Formation energy without anion corrections   -4.8 eV/f.u.
Space group   No. 15